The following is a PBE-GGA calculation of a geometry-optimized TeWN2 structure, from Alexandria.

Cell and atoms, written as POSCAR:
```
TeWN2
1.0
-3.865 -4.524 -1.233
4.617 -3.950 0.019
-0.201 -4.891 3.601
Te W N
2 2 4
direct
0.500 0.500 0.000
0.250 0.750 0.500
0.000 0.000 0.000
0.750 0.250 0.500
0.875 0.125 0.250
0.875 0.625 0.250
0.375 0.125 0.750
0.875 0.125 0.750
```

Summary:
- E_form (uncorrected): 182 meV per atom
- Magnetic moment: 0.0 μB/f.u.
- DFT total energy: -8.005 eV/atom
- Density of states at the Fermi level: 0.45 states/eV/f.u.